The following is a PBE calculation of a geometry-optimized Sr2CaCd4 structure, from the Alexandria database. Values from VASP.

Output
Symmetry: R-3m
Calculated formation energy, eV/atom: -0.148
D(E_F), states/eV/atom: 1.063
Total energy, eV/atom: -1.437
Total moment, μB/cell: 0.00

Quantum ESPRESSO input file:
```
&SYSTEM
  ibrav = 0, nat = 7, ntyp = 3
/
ATOMIC_SPECIES
Cd 112.41 Cd.upf
Sr 87.62 Sr.upf
Ca 40.08 Ca.upf
CELL_PARAMETERS angstrom
-3.294 3.876 -2.092
-4.999 -1.348 -1.857
-6.306 2.377 7.104
ATOMIC_POSITIONS crystal
Cd 0.874 0.874 0.378
Cd 0.633 0.633 0.101
Cd 0.367 0.367 0.899
Cd 0.126 0.126 0.622
Sr 0.247 0.247 0.258
Sr 0.753 0.753 0.742
Ca 0.000 0.000 0.000
```